Entry 1:
{
  "formula": "PmNdPu",
  "functional": "PBE",
  "state": "relaxed",
  "polymorph_energy_ev_per_atom": 0.017,
  "space_group": "P3m1, No. 156",
  "lattice_angstrom": [[3.603, 0.000, 0.000], [-1.801, 3.120, 0.000], [0.000, 0.000, 8.703]],
  "species": ["Pm", "Nd", "Pu"],
  "fractional_positions": [[0.000, 0.000, 0.000], [0.667, 0.333, 0.346], [0.333, 0.667, 0.674]]
}

Entry 2:
{
  "formula": "Pm6Nd5Pu",
  "functional": "PBE",
  "state": "relaxed",
  "e_tot_ev_per_atom": -5.50,
  "space_group": "C2/m, No. 12",
  "lattice_angstrom": [[3.160, -5.484, 0.000], [3.160, 5.484, 0.000], [-2.138, 0.000, 11.849]],
  "species": ["Pm", "Pm", "Pm", "Pm", "Pm", "Pm", "Nd", "Nd", "Nd", "Nd", "Nd", "Pu"],
  "fractional_positions": [[0.082, 0.411, 0.247], [0.247, 0.247, 0.753], [0.411, 0.082, 0.247], [0.589, 0.918, 0.753], [0.753, 0.753, 0.247], [0.918, 0.589, 0.753], [0.166, 0.834, 0.500], [0.333, 0.667, 0.000], [0.500, 0.500, 0.500], [0.667, 0.333, 0.000], [0.834, 0.166, 0.500], [0.000, 0.000, 0.000]]
}

Entry 3:
{
  "formula": "Pm2NdPu",
  "functional": "PBE",
  "state": "relaxed",
  "polymorph_energy_ev_per_atom": 0.000,
  "space_group": "P4/mmm, No. 123",
  "lattice_angstrom": [[3.579, 0.000, 0.000], [0.000, 3.579, 0.000], [0.000, 0.000, 10.271]],
  "species": ["Pm", "Pm", "Nd", "Pu"],
  "fractional_positions": [[0.000, 0.000, 0.240], [0.000, 0.000, 0.760], [0.500, 0.500, 0.500], [0.500, 0.500, 0.000]]
}

Number 1: Fermi-level density of states 2.906 states/eV per atom. Number 2: Fermi-level density of states 2.193 states/eV per atom. Number 3: Fermi-level density of states 2.383 states/eV per atom.